[1]
First-principles (PBE-GGA) data for a relaxed structure of PuGePdPt, as listed in the Alexandria database.

The structure in POSCAR format:
```
PuGePdPt
1.0
3.951 0.000 0.000
0.000 3.951 0.000
0.000 0.000 10.048
Pu Ge Pd Pt
2 2 2 2
Direct
0.250 0.250 0.201
0.750 0.750 0.799
0.250 0.250 0.656
0.750 0.750 0.344
0.250 0.750 0.500
0.750 0.250 0.500
0.250 0.250 0.910
0.750 0.750 0.090
```

Computed properties:
Its symmetry is P4/nmm, No. 129. As for the crystal system: tetragonal. The calculation puts the total DFT energy (no corrections) at -8.166 eV per atom. As for the formation enthalpy at 0 K: -0.6207 eV per atom.

[2]
First-principles (PBE-GGA) data for a relaxed structure of Pu2Ge4PdPt3, as listed in the Alexandria database.

The structure in POSCAR format:
```
Pu2Ge4PdPt3
1.0
4.347 0.000 0.000
0.000 4.347 0.000
0.000 0.000 10.111
Pu Ge Pd Pt
2 4 1 3
Direct
0.000 0.500 0.247
0.500 0.000 0.753
0.000 0.000 0.000
0.000 0.500 0.631
0.500 0.000 0.369
0.500 0.500 0.000
0.000 0.000 0.500
0.000 0.500 0.873
0.500 0.000 0.127
0.500 0.500 0.500
```

Computed properties:
Its symmetry is P-4m2, No. 115. As for the crystal system: tetragonal. The calculation puts the total DFT energy (no corrections) at -7.733 eV per atom. As for the formation enthalpy at 0 K: -0.6885 eV per atom.

[3]
First-principles (PBE-GGA) data for a relaxed structure of PuGe2PdPt, as listed in the Alexandria database.

The structure in POSCAR format:
```
PuGe2PdPt
1.0
5.232 -2.229 0.000
5.232 2.229 0.000
-4.730 0.000 7.830
Pu Ge Pd Pt
2 4 2 2
Direct
0.167 0.167 0.200
0.833 0.833 0.800
0.159 0.159 0.542
0.399 0.399 0.064
0.601 0.601 0.936
0.841 0.841 0.458
0.438 0.438 0.606
0.562 0.562 0.394
0.127 0.127 0.803
0.873 0.873 0.197
```

Computed properties:
Its symmetry is C2/m, No. 12. As for the crystal system: monoclinic. The calculation puts the total DFT energy (no corrections) at -7.601 eV per atom. As for the formation enthalpy at 0 K: -0.6409 eV per atom.

[4]
First-principles (PBE-GGA) data for a relaxed structure of RbGePdPt, as listed in the Alexandria database.

The structure in POSCAR format:
```
RbGePdPt
1.0
7.550 0.000 0.000
0.000 4.389 0.000
-2.526 0.000 6.303
Rb Ge Pd Pt
2 2 2 2
Direct
0.000 0.000 0.000
0.500 0.500 0.000
0.494 0.000 0.483
0.994 0.500 0.483
0.192 0.000 0.574
0.692 0.500 0.574
0.308 0.500 0.424
0.808 0.000 0.424
```

Computed properties:
Its symmetry is Cm, No. 8. As for the crystal system: monoclinic. The calculation puts the total DFT energy (no corrections) at -4.546 eV per atom. As for the formation enthalpy at 0 K: -0.3411 eV per atom.

[5]
First-principles (PBE-GGA) data for a relaxed structure of RbGe2PdPt, as listed in the Alexandria database.

The structure in POSCAR format:
```
RbGe2PdPt
1.0
4.258 0.000 0.000
0.000 4.258 0.000
0.000 0.000 13.696
Rb Ge Pd Pt
2 4 2 2
Direct
0.000 0.000 0.000
0.500 0.500 0.500
0.000 0.000 0.347
0.000 0.000 0.653
0.500 0.500 0.153
0.500 0.500 0.847
0.000 0.500 0.250
0.500 0.000 0.750
0.000 0.500 0.750
0.500 0.000 0.250
```

Computed properties:
Its symmetry is I-4m2, No. 119. As for the crystal system: tetragonal. The calculation puts the total DFT energy (no corrections) at -4.705 eV per atom. As for the formation enthalpy at 0 K: -0.4178 eV per atom.

[6]
First-principles (PBE-GGA) data for a relaxed structure of Ge2Sb2PdPt7, as listed in the Alexandria database.

The structure in POSCAR format:
```
Ge2Sb2PdPt7
1.0
-1.945 1.945 15.437
1.945 -1.945 15.437
1.945 1.945 -15.437
Ge Sb Pd Pt
2 2 1 7
Direct
0.119 0.119 0.000
0.881 0.881 0.000
0.288 0.288 0.000
0.712 0.712 0.000
0.500 0.500 0.000
0.000 0.000 0.000
0.068 0.568 0.500
0.199 0.199 0.000
0.432 0.932 0.500
0.568 0.068 0.500
0.801 0.801 0.000
0.932 0.432 0.500
```

Computed properties:
The value obtained for the uncorrected formation energy is -0.307 eV per atom. Its symmetry is I4/mmm, No. 139. As for the crystal system: tetragonal. The calculation puts the total DFT energy (no corrections) at -5.720 eV per atom.

[7]
First-principles (PBE-GGA) data for a relaxed structure of ScGePdPt, as listed in the Alexandria database.

The structure in POSCAR format:
```
ScGePdPt
1.0
6.428 0.000 0.000
0.000 6.428 0.000
0.000 0.000 6.428
Sc Ge Pd Pt
4 4 4 4
Direct
0.000 0.000 0.000
0.000 0.500 0.500
0.500 0.000 0.500
0.500 0.500 0.000
0.000 0.000 0.500
0.000 0.500 0.000
0.500 0.000 0.000
0.500 0.500 0.500
0.250 0.250 0.250
0.250 0.750 0.750
0.750 0.250 0.750
0.750 0.750 0.250
0.250 0.250 0.750
0.250 0.750 0.250
0.750 0.250 0.250
0.750 0.750 0.750
```

Computed properties:
Its symmetry is F-43m, No. 216. As for the crystal system: cubic. The calculation puts the total DFT energy (no corrections) at -6.363 eV per atom. As for the formation enthalpy at 0 K: -0.8177 eV per atom.

[8]
First-principles (PBE-GGA) data for a relaxed structure of Sm2Ge3PdPt12, as listed in the Alexandria database.

The structure in POSCAR format:
```
Sm2Ge3PdPt12
1.0
4.164 2.404 6.105
-4.164 2.404 6.105
0.000 -4.808 6.105
Sm Ge Pd Pt
2 3 1 12
Direct
0.113 0.113 0.113
0.887 0.887 0.887
0.000 0.500 0.500
0.500 0.000 0.500
0.500 0.500 0.000
0.500 0.500 0.500
0.119 0.638 0.638
0.136 0.136 0.607
0.136 0.607 0.136
0.362 0.362 0.881
0.362 0.881 0.362
0.393 0.864 0.864
0.607 0.136 0.136
0.638 0.119 0.638
0.638 0.638 0.119
0.864 0.393 0.864
0.864 0.864 0.393
0.881 0.362 0.362
```

Computed properties:
Its symmetry is R-3m, No. 166. As for the crystal system: trigonal. The calculation puts the total DFT energy (no corrections) at -5.865 eV per atom. As for the formation enthalpy at 0 K: -0.2555 eV per atom.

[9]
First-principles (PBE-GGA) data for a relaxed structure of SmGe2PdPt5, as listed in the Alexandria database.

The structure in POSCAR format:
```
SmGe2PdPt5
1.0
4.093 0.000 0.000
0.000 4.093 0.000
0.000 0.000 9.537
Sm Ge Pd Pt
1 2 1 5
Direct
0.000 0.000 0.000
0.500 0.500 0.375
0.500 0.500 0.625
0.000 0.000 0.500
0.000 0.500 0.230
0.000 0.500 0.770
0.500 0.000 0.230
0.500 0.000 0.770
0.500 0.500 0.000
```

Computed properties:
Its symmetry is P4/mmm, No. 123. As for the crystal system: tetragonal. The calculation puts the total DFT energy (no corrections) at -6.052 eV per atom. As for the formation enthalpy at 0 K: -0.5687 eV per atom.

[10]
First-principles (PBE-GGA) data for a relaxed structure of Sm3Ge6Pd2Pt, as listed in the Alexandria database.

The structure in POSCAR format:
```
Sm3Ge6Pd2Pt
1.0
5.889 0.000 0.000
-2.945 5.100 0.000
0.000 0.000 8.321
Sm Ge Pd Pt
3 6 2 1
Direct
0.000 0.000 0.000
0.333 0.667 0.610
0.667 0.333 0.390
0.184 0.368 0.278
0.184 0.816 0.278
0.368 0.184 0.722
0.632 0.816 0.278
0.816 0.184 0.722
0.816 0.632 0.722
0.333 0.667 0.017
0.667 0.333 0.983
0.000 0.000 0.500
```

Computed properties:
Its symmetry is P-3m1, No. 164. As for the crystal system: trigonal. The calculation puts the total DFT energy (no corrections) at -5.343 eV per atom. As for the formation enthalpy at 0 K: -0.4854 eV per atom.

[11]
First-principles (PBE-GGA) data for a relaxed structure of Sm2Ge4Pd3Pt, as listed in the Alexandria database.

The structure in POSCAR format:
```
Sm2Ge4Pd3Pt
1.0
4.325 0.000 0.000
0.000 4.325 0.000
0.000 0.000 10.205
Sm Ge Pd Pt
2 4 3 1
Direct
0.000 0.500 0.249
0.500 0.000 0.751
0.000 0.000 0.000
0.000 0.500 0.631
0.500 0.000 0.369
0.500 0.500 0.000
0.000 0.500 0.870
0.500 0.000 0.130
0.500 0.500 0.500
0.000 0.000 0.500
```

Computed properties:
Its symmetry is P-4m2, No. 115. As for the crystal system: tetragonal. The calculation puts the total DFT energy (no corrections) at -5.780 eV per atom. As for the formation enthalpy at 0 K: -0.8276 eV per atom.

[12]
First-principles (PBE-GGA) data for a relaxed structure of Sm2Ge3PdPt4, as listed in the Alexandria database.

The structure in POSCAR format:
```
Sm2Ge3PdPt4
1.0
4.095 0.000 0.000
0.000 4.095 0.000
0.000 0.000 11.398
Sm Ge Pd Pt
2 3 1 4
Direct
0.000 0.500 0.245
0.500 0.000 0.755
0.000 0.000 0.000
0.000 0.500 0.632
0.500 0.000 0.368
0.500 0.500 0.000
0.000 0.000 0.500
0.000 0.500 0.844
0.500 0.000 0.156
0.500 0.500 0.500
```

Computed properties:
Its symmetry is P-4m2, No. 115. As for the crystal system: tetragonal. The calculation puts the total DFT energy (no corrections) at -6.117 eV per atom. As for the formation enthalpy at 0 K: -0.8524 eV per atom.

Q: Which formula does entry 9 have?
A: SmGe2PdPt5